First-principles (GGA-PBE) data for a geometry-optimized NdPuNiIr structure, as listed in Alexandria via LeMat-Bulk.

Cell lengths 4.9021, 4.9021, 4.9021 Å; angles 60.00, 60.00, 60.00 degrees
With the nearest neighbours (Å) after each atom.
Sites, in units of the cell vectors:
Nd 0.0000 0.0000 0.0000  4 Ir 3.00, 4 Ni 3.00
Pu 0.5000 0.5000 0.5000  4 Ir 3.00, 4 Ni 3.00
Ni 0.2500 0.2500 0.2500  4 Pu 3.00, 4 Nd 3.00
Ir 0.7500 0.7500 0.7500  4 Pu 3.00, 4 Nd 3.00

Summary:
E_form ... -0.3095 eV/atom
Calculated volume ... 83.30 Å³ per cell
Symmetry ... No. 216

First-principles (GGA-PBE) data for a geometry-optimized BeBiAsBr2 structure, as listed in Alexandria via LeMat-Bulk.

Cell lengths 5.7577, 5.7577, 5.7742 Å; angles 90.00, 90.00, 90.00 degrees
With the nearest neighbours (Å) after each atom.
Sites, in units of the cell vectors:
Be 0.0000 0.0000 0.0000  4 As 4.07, 8 Br 4.08
Bi 0.5000 0.5000 0.5000  4 Br 2.88, 2 As 2.89
As 0.5000 0.5000 0.0000  2 Bi 2.89
Br 0.0000 0.5000 0.5000  2 Bi 2.88
Br 0.5000 0.0000 0.5000  2 Bi 2.88

Summary:
Calculated volume ... 191.42 Å³ per cell
Symmetry ... No. 123
Energy relative to the lowest polymorph listed for this composition ... 660.4 meV per atom
E_form (uncorrected) ... 0.738 eV per atom

First-principles (GGA-PBE) data for a geometry-optimized CaCePm structure, as listed in Alexandria via LeMat-Bulk.

Cell lengths 8.4582, 8.4582, 8.4582 Å; angles 155.38, 155.38, 35.09 degrees
With the nearest neighbours (Å) after each atom.
Sites, in units of the cell vectors:
Ca 0.0000 0.0000 0.0000  4 Ca 3.61, 4 Ce 3.79, 4 Pm 3.83
Ce 0.3266 0.3266 0.0000  4 Pm 3.51, 4 Ce 3.61, 4 Ca 3.79
Pm 0.6772 0.6772 0.0000  4 Ce 3.51, 4 Pm 3.61, 4 Ca 3.83

Summary:
E_form ... 0.1418 eV/atom
Calculated volume ... 104.89 Å³ per cell
Symmetry ... No. 107
Energy relative to the lowest polymorph listed for this composition ... 76.1 meV per atom

First-principles (GGA-PBE) data for a geometry-optimized UGaPbO5 structure, as listed in Alexandria via LeMat-Bulk.

Cell lengths 6.0645, 6.0645, 8.0152 Å; angles 104.21, 104.21, 106.78 degrees
With the nearest neighbours (Å) after each atom.
Sites, in units of the cell vectors:
U 0.0000 0.0000 0.0000  6 O 2.13-2.21
U 0.0000 0.0000 0.5000  6 O 2.13-2.21
Ga 0.3163 0.6837 0.7500  4 O 1.87-1.88
Ga 0.6837 0.3163 0.2500  4 O 1.87-1.88
Pb 0.3302 0.6698 0.2500  5 O 2.46-2.67
Pb 0.6698 0.3302 0.7500  5 O 2.46-2.67
O 0.0771 0.9229 0.2500  2 U 2.14
O 0.1040 0.6918 0.8848  1 Ga 1.88
O 0.2471 0.3695 0.5916  1 Ga 1.87
O 0.3082 0.8960 0.6152  1 Ga 1.88
O 0.3695 0.2471 0.0916  1 Ga 1.87
O 0.6305 0.7529 0.9084  1 Ga 1.87
O 0.6918 0.1040 0.3848  1 Ga 1.88
O 0.7529 0.6305 0.4084  1 Ga 1.87
O 0.8960 0.3082 0.1152  1 Ga 1.88
O 0.9229 0.0771 0.7500  2 U 2.14

Summary:
Calculated volume ... 257.22 Å³ per cell
Symmetry ... No. 15
E_form (uncorrected) ... -2.294 eV per atom

First-principles (GGA-PBE) data for a geometry-optimized Dy2NpSe4 structure, as listed in Alexandria via LeMat-Bulk.

Cell lengths 7.0155, 7.0155, 13.7364 Å; angles 90.00, 90.00, 146.66 degrees
With the nearest neighbours (Å) after each atom.
Sites, in units of the cell vectors:
Dy 0.1328 0.8672 0.5671  6 Se 2.82-2.90
Dy 0.1328 0.8672 0.9329  6 Se 2.82-2.90
Dy 0.8672 0.1328 0.0671  6 Se 2.82-2.90
Dy 0.8672 0.1328 0.4329  6 Se 2.82-2.90
Np 0.3799 0.6201 0.7500  6 Se 2.93-3.02
Np 0.6201 0.3799 0.2500  6 Se 2.93-3.02
Se 0.0380 0.9620 0.7500  2 Dy 2.82, 2 Np 2.93
Se 0.2262 0.7738 0.1232  3 Dy 2.87-2.90, 2 Np 3.02
Se 0.2262 0.7738 0.3768  3 Dy 2.87-2.90, 2 Np 3.02
Se 0.5000 0.5000 0.0000  4 Dy 2.84
Se 0.5000 0.5000 0.5000  4 Dy 2.84
Se 0.7738 0.2262 0.6232  3 Dy 2.87-2.90, 2 Np 3.02
Se 0.7738 0.2262 0.8768  3 Dy 2.87-2.90, 2 Np 3.02
Se 0.9620 0.0380 0.2500  2 Dy 2.82, 2 Np 2.93

Summary:
Calculated volume ... 371.58 Å³ per cell
Symmetry ... No. 63
E_form (uncorrected) ... -1.596 eV per atom

First-principles (GGA-PBE) data for a geometry-optimized Y2SbRu structure, as listed in Alexandria via LeMat-Bulk.

Cell lengths 3.3860, 3.3860, 8.3999 Å; angles 90.00, 90.00, 90.00 degrees
With the nearest neighbours (Å) after each atom.
Sites, in units of the cell vectors:
Y 0.0000 0.0000 0.0000  4 Sb 3.26, 4 Y 3.39, 1 Ru 3.58
Y 0.5000 0.5000 0.3469  4 Ru 3.06, 1 Sb 3.27, 4 Y 3.39
Sb 0.5000 0.5000 0.7365  4 Ru 2.76
Ru 0.0000 0.0000 0.5734  4 Sb 2.76, 4 Y 3.06

Summary:
Calculated volume ... 96.30 Å³ per cell
Symmetry ... No. 99
E_form (uncorrected) ... -0.285 eV per atom

First-principles (GGA-PBE) data for a geometry-optimized ThAlOs structure, as listed in Alexandria via LeMat-Bulk.

Cell lengths 7.5614, 4.6728, 7.0047 Å; angles 90.00, 90.00, 90.00 degrees
With the nearest neighbours (Å) after each atom.
Sites, in units of the cell vectors:
Th 0.0370 0.2500 0.1837  4 Os 2.93-3.06, 5 Al 3.17-3.23
Th 0.4630 0.7500 0.6837  4 Os 2.93-3.06, 5 Al 3.17-3.23
Th 0.5370 0.2500 0.3163  4 Os 2.93-3.06, 5 Al 3.17-3.23
Th 0.9630 0.7500 0.8163  4 Os 2.93-3.06, 5 Al 3.17-3.23
Al 0.1878 0.2500 0.6148  4 Os 2.57-2.65
Al 0.3122 0.7500 0.1148  4 Os 2.57-2.65
Al 0.6878 0.2500 0.8852  4 Os 2.57-2.65
Al 0.8122 0.7500 0.3852  4 Os 2.57-2.65
Os 0.1479 0.7500 0.4401  4 Al 2.57-2.65
Os 0.3521 0.2500 0.9401  4 Al 2.57-2.65
Os 0.6479 0.7500 0.0599  4 Al 2.57-2.65
Os 0.8521 0.2500 0.5599  4 Al 2.57-2.65

Summary:
E_form ... -0.5180 eV/atom
Calculated volume ... 247.49 Å³ per cell
Symmetry ... No. 62

First-principles (GGA-PBE) data for a geometry-optimized Ba7Sr4 structure, as listed in Alexandria via LeMat-Bulk.

Cell lengths 11.3615, 11.3615, 6.4926 Å; angles 90.00, 90.00, 120.00 degrees
With the nearest neighbours (Å) after each atom.
Sites, in units of the cell vectors:
Ba 0.0000 0.0000 0.0000  6 Ba 5.11, 6 Sr 5.29
Ba 0.2004 0.4009 0.5000  4 Sr 4.07-4.17, 2 Ba 4.53
Ba 0.2004 0.7996 0.5000  4 Sr 4.07-4.17, 2 Ba 4.53
Ba 0.5350 0.0701 0.0000  5 Sr 3.97-4.09
Ba 0.5350 0.4650 0.0000  5 Sr 3.97-4.09
Ba 0.5991 0.7996 0.5000  4 Sr 4.07-4.17, 2 Ba 4.53
Ba 0.9299 0.4650 0.0000  5 Sr 3.97-4.09
Sr 0.3333 0.6667 0.0000  9 Ba 3.97-4.17
Sr 0.4246 0.2123 0.5000  6 Ba 4.07-4.09, 2 Sr 4.13
Sr 0.7877 0.2123 0.5000  6 Ba 4.07-4.09, 2 Sr 4.13
Sr 0.7877 0.5754 0.5000  6 Ba 4.07-4.09, 2 Sr 4.13

Summary:
E_form ... 0.2022 eV/atom
Calculated volume ... 725.81 Å³ per cell
Symmetry ... No. 187